(1)
CuPPtO2: optimized geometry, PBE-GGA.

Unit cell a=3.773 b=3.773 c=5.305 alpha=90.00 beta=90.00 gamma=90.00
Fractional positions:
1 Cu 0.000 0.000 0.000
2 P 0.500 0.500 0.000
3 Pt 0.500 0.500 0.500
4 O 0.000 0.500 0.500
5 O 0.500 0.000 0.500

Values from the calculation:
Energy above the lowest structure with this stoichiometry   0.0 meV/atom
Uncorrected formation energy   0.32 eV/atom
Calculated volume   75.52 Å³/f.u.
Total DFT energy (no corrections)   -23.88 eV/cell
M_tot   1.10 μB/cell



(2)
Al2TlAgF8: optimized geometry, PBE-GGA.

Unit cell a=8.248 b=8.248 c=8.248 alpha=39.82 beta=39.82 gamma=39.82
Fractional positions:
1 Al 0.250 0.250 0.250
2 Al 0.750 0.750 0.750
3 Tl 0.000 0.000 0.000
4 Ag 0.500 0.500 0.500
5 F 0.049 0.795 0.472
6 F 0.205 0.528 0.951
7 F 0.325 0.325 0.325
8 F 0.472 0.049 0.795
9 F 0.528 0.951 0.205
10 F 0.675 0.675 0.675
11 F 0.795 0.472 0.049
12 F 0.951 0.205 0.528

Values from the calculation:
Uncorrected formation energy   -2.77 eV/atom
Calculated volume   207.26 Å³/f.u.
Total DFT energy (no corrections)   -60.90 eV/cell
M_tot   0.14 μB/cell



(3)
Si2HgP: optimized geometry, PBE-GGA.

Unit cell a=3.253 b=3.253 c=7.901 alpha=90.00 beta=90.00 gamma=116.79
Fractional positions:
1 Si 0.000 0.000 0.210
2 Si 0.000 0.000 0.790
3 Hg 0.500 0.500 0.500
4 P 0.500 0.500 0.000

Values from the calculation:
Energy above the lowest structure with this stoichiometry   272.8 meV/atom
Uncorrected formation energy   0.53 eV/atom
Calculated volume   74.61 Å³/f.u.
Total DFT energy (no corrections)   -14.45 eV/cell
M_tot   0.00 μB/cell



(4)
Ce2PmSb3Rh4: optimized geometry, PBE-GGA.

Unit cell a=4.406 b=4.406 c=11.538 alpha=90.00 beta=90.00 gamma=90.00
Fractional positions:
1 Ce 0.000 0.500 0.227
2 Ce 0.500 0.000 0.773
3 Pm 0.000 0.000 0.500
4 Sb 0.000 0.500 0.872
5 Sb 0.500 0.000 0.128
6 Sb 0.500 0.500 0.500
7 Rh 0.000 0.000 0.000
8 Rh 0.000 0.500 0.650
9 Rh 0.500 0.000 0.350
10 Rh 0.500 0.500 0.000

Values from the calculation:
Uncorrected formation energy   -0.78 eV/atom
Calculated volume   223.95 Å³/f.u.
Total DFT energy (no corrections)   -66.24 eV/cell
M_tot   1.98 μB/cell



> What is the total DFT energy (no corrections) in the fourth record?

-66.24 eV/cell



> Which formula does entry 4 have?

Ce2PmSb3Rh4